# SbPRu2

Crystalline SbPRu2 at its relaxed geometry (PBE-GGA, Alexandria).

Calculated values
Formation energy (no corrections) ... -52 kJ/mol of formula units
E above lowest polymorph ... 0.0854 eV/atom

Geometry as POSCAR:
```
SbPRu2
1.0
3.1238 0.0000 0.0000
0.0000 4.6048 0.0000
0.0000 0.0000 4.5753
Sb P Ru
1 1 2
Direct
0.0000 0.0000 0.0000
0.5000 0.5000 0.3340
0.0000 0.5000 0.7019
0.5000 0.0000 0.5021
```

# SbP2Ru

Crystalline SbP2Ru at its relaxed geometry (PBE-GGA, Alexandria).

Calculated values
Formation energy (no corrections) ... -18 kJ/mol of formula units

Geometry as POSCAR:
```
SbP2Ru
1.0
3.5285 -1.4772 0.0000
3.5285 1.4772 0.0000
-2.5052 0.0000 7.7861
Sb P Ru
1 2 1
Direct
0.0000 0.0000 0.0000
0.1523 0.1523 0.3484
0.8477 0.8477 0.6516
0.5000 0.5000 0.5000
```

# SbPRu2

Crystalline SbPRu2 at its relaxed geometry (PBE-GGA, Alexandria).

Calculated values
Formation energy (no corrections) ... 45 kJ/mol of formula units
E above lowest polymorph ... 0.3367 eV/atom

Geometry as POSCAR:
```
SbPRu2
1.0
3.9807 0.0000 0.0000
0.0000 3.9807 0.0000
0.0000 0.0000 8.3171
Sb P Ru
2 2 4
Direct
0.2500 0.2500 0.2006
0.7500 0.7500 0.7994
0.2500 0.7500 0.5000
0.7500 0.2500 0.5000
0.2500 0.2500 0.6747
0.2500 0.7500 0.0000
0.7500 0.2500 0.0000
0.7500 0.7500 0.3253
```

# Sb2PRu

Crystalline Sb2PRu at its relaxed geometry (PBE-GGA, Alexandria).

Calculated values
Formation energy (no corrections) ... 123 kJ/mol of formula units

Geometry as POSCAR:
```
Sb2PRu
1.0
-3.0309 3.0309 5.8043
3.0309 -3.0309 5.8043
3.0309 3.0309 -5.8043
Sb P Ru
4 2 2
Direct
0.1082 0.6250 0.9832
0.3750 0.3582 0.4832
0.6418 0.1250 0.0168
0.8750 0.8918 0.5168
0.2500 0.7500 0.5000
0.5000 0.5000 0.0000
0.0000 0.0000 0.0000
0.7500 0.2500 0.5000
```

# SbPRu2

Crystalline SbPRu2 at its relaxed geometry (PBE-GGA, Alexandria).

Calculated values
Formation energy (no corrections) ... -85 kJ/mol of formula units
E above lowest polymorph ... 0.0000 eV/atom

Geometry as POSCAR:
```
SbPRu2
1.0
4.0158 -1.6544 0.0000
4.0158 1.6544 0.0000
-1.3676 0.0000 5.0578
Sb P Ru
1 1 2
Direct
0.0000 0.0000 0.0000
0.7607 0.7607 0.4574
0.2447 0.2447 0.7611
0.4596 0.4596 0.3871
```

# SbP2Ru

Crystalline SbP2Ru at its relaxed geometry (PBE-GGA, Alexandria).

Calculated values
Formation energy (no corrections) ... 119 kJ/mol of formula units

Geometry as POSCAR:
```
SbP2Ru
1.0
2.6508 -3.6442 0.0000
2.6508 3.6442 0.0000
-2.6409 0.0000 3.6434
Sb P Ru
1 2 1
Direct
0.0000 0.0000 0.0000
0.0000 0.5000 0.5000
0.5000 0.0000 0.5000
0.5000 0.5000 0.0000
```

> Among the records above, which one has the highest formation energy (no corrections)?

Sb2PRu

> What is the formation energy (no corrections) in the second record?

-18 kJ/mol of formula units

Please write out number 2 again, unchanged.
# SbP2Ru

Crystalline SbP2Ru at its relaxed geometry (PBE-GGA, Alexandria).

Calculated values
Formation energy (no corrections) ... -18 kJ/mol of formula units

Geometry as POSCAR:
```
SbP2Ru
1.0
3.5285 -1.4772 0.0000
3.5285 1.4772 0.0000
-2.5052 0.0000 7.7861
Sb P Ru
1 2 1
Direct
0.0000 0.0000 0.0000
0.1523 0.1523 0.3484
0.8477 0.8477 0.6516
0.5000 0.5000 0.5000
```